A plane-wave DFT calculation with GGA-PBE was carried out for an optimized crystal structure of RbCo2S2.

Lattice parameters (Å, degrees): 6.4996 6.4996 6.4996 141.75 141.75 55.21
Closest atoms and distances in Å follow each position.
Element x y z (fractional)
Rb (0.0000, 0.0000, 0.0000)  10 Co 3.54-3.74, 8 S 3.58
Co (0.3077, 0.3077, 0.0000)  4 S 2.23
Co (0.6923, 0.6923, 0.0000)  4 S 2.23
S (0.2500, 0.7500, 0.5000)  4 Co 2.23
S (0.7500, 0.2500, 0.5000)  4 Co 2.23

Computed properties:
Energy above the lowest structure with this stoichiometry   0.438 eV per atom
Formation energy (no corrections)   -0.89 eV/f.u.
DOS(E_F)   0.96 states/eV/atom

A plane-wave DFT calculation with GGA-PBE was carried out for an optimized crystal structure of Sr3LiPd.

Lattice parameters (Å, degrees): 6.5358 8.1486 8.2540 106.40 112.91 101.57
Closest atoms and distances in Å follow each position.
Element x y z (fractional)
Sr (0.0000, 0.0000, 0.0000)  2 Pd 3.13-3.32, 2 Li 3.26-3.27
Sr (0.0304, 0.4728, 0.8800)  2 Pd 3.15-3.22, 1 Li 3.23
Sr (0.3229, 0.0894, 0.6328)  2 Pd 3.34-3.51, 3 Li 3.40-3.50
Sr (0.3731, 0.5836, 0.4992)  2 Li 3.29-3.46, 3 Pd 3.36-3.41
Sr (0.6962, 0.2341, 0.3205)  2 Pd 3.27-3.46, 2 Li 3.36-3.41
Sr (0.7461, 0.6676, 0.1959)  2 Pd 3.06-3.34, 2 Li 3.18-3.42
Li (0.3830, 0.8378, 0.9179)  2 Pd 2.67-2.79
Li (0.7520, 0.9539, 0.5526)  2 Pd 2.63-2.75
Pd (0.3413, 0.8425, 0.2431)  2 Li 2.63-2.79
Pd (0.9546, 0.6964, 0.6097)  2 Li 2.67-2.75

Computed properties:
Energy above the lowest structure with this stoichiometry   0.005 eV per atom
ΔE_f   -1.4 eV per formula unit
DOS(E_F)   0.74 states/eV/atom

A plane-wave DFT calculation with GGA-PBE was carried out for an optimized crystal structure of Dy6Tl3Os.

Lattice parameters (Å, degrees): 6.8656 6.8656 7.3261 100.52 100.52 62.82
Closest atoms and distances in Å follow each position.
Element x y z (fractional)
Dy (0.1335, 0.6410, 0.6558)  1 Os 2.64
Dy (0.3386, 0.3386, 0.1584)  1 Os 2.80
Dy (0.3590, 0.8665, 0.3442)  1 Os 2.64
Dy (0.6410, 0.1335, 0.6558)  1 Os 2.64
Dy (0.6614, 0.6614, 0.8416)  1 Os 2.80
Dy (0.8665, 0.3590, 0.3442)  1 Os 2.64
Tl (0.0000, 0.0000, 0.0000)  2 Tl 3.11, 4 Dy 3.13
Tl (0.1735, 0.1735, 0.7326)  1 Tl 3.11, 5 Dy 3.24-3.30
Tl (0.8265, 0.8265, 0.2674)  1 Tl 3.11, 5 Dy 3.24-3.30
Os (0.5000, 0.5000, 0.5000)  6 Dy 2.64-2.80

Computed properties:
ΔE_f   -1.4 eV per formula unit
DOS(E_F)   0.78 states/eV/atom

A plane-wave DFT calculation with GGA-PBE was carried out for an optimized crystal structure of DyY4Cd.

Lattice parameters (Å, degrees): 3.5871 3.5871 14.1642 90.00 90.00 90.00
Closest atoms and distances in Å follow each position.
Element x y z (fractional)
Dy (0.0000, 0.0000, 0.0000)  8 Y 3.55, 4 Dy 3.59
Y (0.0000, 0.0000, 0.3549)  4 Cd 3.26, 8 Y 3.59
Y (0.0000, 0.0000, 0.6451)  4 Cd 3.26, 8 Y 3.59
Y (0.5000, 0.5000, 0.1756)  4 Dy 3.55, 8 Y 3.59
Y (0.5000, 0.5000, 0.8244)  4 Dy 3.55, 8 Y 3.59
Cd (0.5000, 0.5000, 0.5000)  8 Y 3.26, 4 Cd 3.59

Computed properties:
Energy above the lowest structure with this stoichiometry   0.000 eV per atom
ΔE_f   -0.6 eV per formula unit
DOS(E_F)   1.50 states/eV/atom

A plane-wave DFT calculation with GGA-PBE was carried out for an optimized crystal structure of Sm12Bi3O5.

Lattice parameters (Å, degrees): 13.9299 13.9299 13.9299 109.47 109.47 109.47
Closest atoms and distances in Å follow each position.
Element x y z (fractional)
Sm (0.0056, 0.1938, 0.1053)  1 O 2.27
Sm (0.0056, 0.3118, 0.9003)  1 O 2.27
Sm (0.0885, 0.6938, 0.6882)  1 O 2.27
Sm (0.0885, 0.8947, 0.4003)  1 O 2.27
Sm (0.0997, 0.6053, 0.4115)  1 O 2.27
Sm (0.0997, 0.9944, 0.6882)  1 O 2.27
Sm (0.1053, 0.0056, 0.1938)  1 O 2.27
Sm (0.1053, 0.5997, 0.9115)  1 O 2.27
Sm (0.1882, 0.1938, 0.5885)  1 O 2.27
Sm (0.1882, 0.4944, 0.5997)  1 O 2.27
Sm (0.1938, 0.1053, 0.0056)  1 O 2.27
Sm (0.1938, 0.5885, 0.1882)  1 O 2.27
Sm (0.3062, 0.3118, 0.9115)  1 O 2.27
Sm (0.3062, 0.4944, 0.3947)  1 O 2.27
Sm (0.3118, 0.9003, 0.0056)  1 O 2.27
Sm (0.3118, 0.9115, 0.3062)  1 O 2.27
Sm (0.3947, 0.3062, 0.4944)  1 O 2.27
Sm (0.3947, 0.5885, 0.9003)  1 O 2.27
Sm (0.4003, 0.0885, 0.8947)  1 O 2.27
Sm (0.4003, 0.8118, 0.5056)  1 O 2.27
Sm (0.4115, 0.0997, 0.6053)  1 O 2.27
Sm (0.4115, 0.8118, 0.8062)  1 O 2.27
Sm (0.4944, 0.3947, 0.3062)  1 O 2.27
Sm (0.4944, 0.5997, 0.1882)  1 O 2.27
Sm (0.5056, 0.4003, 0.8118)  1 O 2.27
Sm (0.5056, 0.6053, 0.6938)  1 O 2.27
Sm (0.5885, 0.1882, 0.1938)  1 O 2.27
Sm (0.5885, 0.9003, 0.3947)  1 O 2.27
Sm (0.5997, 0.1882, 0.4944)  1 O 2.27
Sm (0.5997, 0.9115, 0.1053)  1 O 2.27
Sm (0.6053, 0.4115, 0.0997)  1 O 2.27
Sm (0.6053, 0.6938, 0.5056)  1 O 2.27
Sm (0.6882, 0.0885, 0.6938)  1 O 2.27
Sm (0.6882, 0.0997, 0.9944)  1 O 2.27
Sm (0.6938, 0.5056, 0.6053)  1 O 2.27
Sm (0.6938, 0.6882, 0.0885)  1 O 2.27
Sm (0.8062, 0.4115, 0.8118)  1 O 2.27
Sm (0.8062, 0.8947, 0.9944)  1 O 2.27
Sm (0.8118, 0.5056, 0.4003)  1 O 2.27
Sm (0.8118, 0.8062, 0.4115)  1 O 2.27
Sm (0.8947, 0.4003, 0.0885)  1 O 2.27
Sm (0.8947, 0.9944, 0.8062)  1 O 2.27
Sm (0.9003, 0.0056, 0.3118)  1 O 2.27
Sm (0.9003, 0.3947, 0.5885)  1 O 2.27
Sm (0.9115, 0.1053, 0.5997)  1 O 2.27
Sm (0.9115, 0.3062, 0.3118)  1 O 2.27
Sm (0.9944, 0.6882, 0.0997)  1 O 2.27
Sm (0.9944, 0.8062, 0.8947)  1 O 2.27
Bi (0.1250, 0.2500, 0.3750)  8 Sm 3.24-3.35
Bi (0.1250, 0.3750, 0.7500)  8 Sm 3.24-3.35
Bi (0.2500, 0.3750, 0.1250)  8 Sm 3.24-3.35
Bi (0.2500, 0.8750, 0.6250)  8 Sm 3.24-3.35
Bi (0.3750, 0.1250, 0.2500)  8 Sm 3.24-3.35
Bi (0.3750, 0.7500, 0.1250)  8 Sm 3.24-3.35
Bi (0.6250, 0.2500, 0.8750)  8 Sm 3.24-3.35
Bi (0.6250, 0.8750, 0.7500)  8 Sm 3.24-3.35
Bi (0.7500, 0.1250, 0.3750)  8 Sm 3.24-3.35
Bi (0.7500, 0.6250, 0.8750)  8 Sm 3.24-3.35
Bi (0.8750, 0.6250, 0.2500)  8 Sm 3.24-3.35
Bi (0.8750, 0.7500, 0.6250)  8 Sm 3.24-3.35
O (0.0000, 0.0000, 0.0000)  6 Sm 2.57
O (0.0000, 0.0000, 0.5000)  6 Sm 2.57
O (0.0000, 0.5000, 0.0000)  6 Sm 2.57
O (0.0000, 0.5000, 0.5000)  6 Sm 2.57
O (0.1250, 0.7500, 0.8750)  4 Sm 2.27
O (0.1250, 0.8750, 0.2500)  4 Sm 2.27
O (0.2500, 0.1250, 0.8750)  4 Sm 2.27
O (0.2500, 0.6250, 0.3750)  4 Sm 2.27
O (0.3750, 0.2500, 0.6250)  4 Sm 2.27
O (0.3750, 0.6250, 0.7500)  4 Sm 2.27
O (0.5000, 0.0000, 0.0000)  6 Sm 2.57
O (0.5000, 0.0000, 0.5000)  6 Sm 2.57
O (0.5000, 0.5000, 0.0000)  6 Sm 2.57
O (0.5000, 0.5000, 0.5000)  6 Sm 2.57
O (0.6250, 0.3750, 0.2500)  4 Sm 2.27
O (0.6250, 0.7500, 0.3750)  4 Sm 2.27
O (0.7500, 0.3750, 0.6250)  4 Sm 2.27
O (0.7500, 0.8750, 0.1250)  4 Sm 2.27
O (0.8750, 0.1250, 0.7500)  4 Sm 2.27
O (0.8750, 0.2500, 0.1250)  4 Sm 2.27

Computed properties:
Formation energy (no corrections)   -32.05 eV/f.u.
DOS(E_F)   0.67 states/eV/atom

A plane-wave DFT calculation with GGA-PBE was carried out for an optimized crystal structure of Sc2AlHgC.

Lattice parameters (Å, degrees): 4.6207 4.6207 3.9885 90.00 90.00 90.00
Closest atoms and distances in Å follow each position.
Element x y z (fractional)
Sc (0.0000, 0.5000, 0.0000)  2 C 2.31
Sc (0.5000, 0.0000, 0.0000)  2 C 2.31
Al (0.0000, 0.0000, 0.5000)  2 C 1.99
Hg (0.5000, 0.5000, 0.5000)  8 Sc 3.05, 4 Al 3.27
C (0.0000, 0.0000, 0.0000)  2 Al 1.99

Computed properties:
ΔE_f   -2.2 eV per formula unit
DOS(E_F)   0.89 states/eV/atom

A plane-wave DFT calculation with GGA-PBE was carried out for an optimized crystal structure of TbCeGdDy.

Lattice parameters (Å, degrees): 5.6737 5.6737 5.6737 60.00 60.00 60.00
Closest atoms and distances in Å follow each position.
Element x y z (fractional)
Tb (0.0000, 0.0000, 0.0000)  4 Dy 3.47, 4 Gd 3.47
Ce (0.5000, 0.5000, 0.5000)  4 Dy 3.47, 4 Gd 3.47
Gd (0.2500, 0.2500, 0.2500)  4 Tb 3.47, 4 Ce 3.47
Dy (0.7500, 0.7500, 0.7500)  4 Ce 3.47, 4 Tb 3.47

Computed properties:
ΔE_f   0.7 eV per formula unit
DOS(E_F)   2.68 states/eV/atom

A plane-wave DFT calculation with GGA-PBE was carried out for an optimized crystal structure of K2AcBO4.

Lattice parameters (Å, degrees): 14.2163 13.3330 6.3073 84.73 69.05 26.22
Closest atoms and distances in Å follow each position.
Element x y z (fractional)
K (0.0705, 0.0705, 0.6795)  4 O 2.99-3.01
K (0.3205, 0.3205, 0.9295)  4 O 2.99-3.01
K (0.6795, 0.6795, 0.0705)  4 O 2.99-3.01
K (0.9295, 0.9295, 0.3205)  4 O 2.99-3.01
Ac (0.1250, 0.1250, 0.1250)  4 O 2.30
Ac (0.8750, 0.8750, 0.8750)  4 O 2.30
B (0.3750, 0.3750, 0.3750)  4 O 1.53
B (0.6250, 0.6250, 0.6250)  4 O 1.53
O (0.1057, 0.5784, 0.4793)  1 B 1.53
O (0.3366, 0.4793, 0.5784)  1 B 1.53
O (0.4216, 0.8943, 0.6634)  1 B 1.53
O (0.4793, 0.3366, 0.1057)  1 B 1.53
O (0.5207, 0.6634, 0.8943)  1 B 1.53
O (0.5784, 0.1057, 0.3366)  1 B 1.53
O (0.6634, 0.5207, 0.4216)  1 B 1.53
O (0.8943, 0.4216, 0.5207)  1 B 1.53

Computed properties:
Formation energy (no corrections)   -14.91 eV/f.u.